(1)
The following is a DFT calculation (PBE) of a geometry-optimized Ti3RuSe structure.

Cell lengths 4.704, 4.704, 4.704 Å; angles 90.00, 90.00, 90.00 degrees
Fractional coordinates of all 5 atoms:
Ti 0.000 0.500 0.000
Ru 0.000 0.000 0.000
Ti 0.000 0.000 0.500
Ti 0.500 0.000 0.000
Se 0.500 0.500 0.500

Space-group type: Pm-3m
V in A^3/atom: 20.82

***

(2)
The following is a DFT calculation (PBE) of a geometry-optimized Ti3RuSe structure.

Cell lengths 4.570, 4.570, 4.570 Å; angles 90.00, 90.00, 90.00 degrees
Fractional coordinates of all 5 atoms:
Ti 0.000 0.000 0.500
Ru 0.500 0.500 0.500
Ti 0.000 0.500 0.000
Se 0.000 0.000 0.000
Ti 0.500 0.000 0.000

Space-group type: Pm-3m
V in A^3/atom: 19.08

***

Most stable one: (1), least stable one: (2).

***

(1)
The following is a DFT calculation (PBE) of a geometry-optimized Ti2RuSe2 structure.

Cell lengths 4.916, 4.916, 5.188 Å; angles 61.72, 61.72, 90.00 degrees
Last column: magnetic moment on the atom in μB.
Fractional coordinates of all 5 atoms:
Ti 0.750 0.250 0.500  0.40
Ti 0.250 0.750 0.500  0.40
Se 0.683 0.683 0.634  -0.01
Ru 0.000 0.000 0.000  0.17
Se 0.317 0.317 0.366  -0.01

Space-group type: I4/mmm
V in A^3/atom: 18.62

***

(2)
The following is a DFT calculation (PBE) of a geometry-optimized Ti2RuSe2 structure.

Cell lengths 6.941, 6.941, 3.302 Å; angles 90.00, 90.00, 90.00 degrees
Fractional coordinates of all 10 atoms:
Ru 0.000 0.000 0.000
Ti 0.649 0.851 0.500
Ti 0.351 0.149 0.500
Ru 0.500 0.500 0.000
Se 0.155 0.345 0.000
Ti 0.149 0.649 0.500
Ti 0.851 0.351 0.500
Se 0.845 0.655 0.000
Se 0.655 0.155 0.000
Se 0.345 0.845 0.000

Space-group type: P4/mbm
V in A^3/atom: 15.91

***

Most stable one: (2), least stable one: (1).

***

(1)
The following is a DFT calculation (PBE) of a geometry-optimized TlRuSe2 structure.

Cell lengths 4.813, 4.813, 4.813 Å; angles 60.00, 60.00, 60.00 degrees
Fractional coordinates of all 4 atoms:
Ru 0.000 0.000 0.000
Tl 0.500 0.500 0.500
Se 0.250 0.250 0.250
Se 0.750 0.750 0.750

Space-group type: Fm-3m
V in A^3/atom: 19.70

***

(2)
The following is a DFT calculation (PBE) of a geometry-optimized TlRuSe2 structure.

Cell lengths 9.508, 9.508, 9.508 Å; angles 21.77, 21.77, 21.77 degrees
Last column: magnetic moment on the atom in μB.
Fractional coordinates of all 4 atoms:
Ru 0.500 0.500 0.500  1.00
Se 0.884 0.884 0.884  0.16
Se 0.116 0.116 0.116  0.16
Tl 0.000 0.000 0.000  -0.01

Space-group type: R-3m
V in A^3/atom: 25.90

***

(3)
The following is a DFT calculation (PBE) of a geometry-optimized TlRuSe2 structure.

Cell lengths 9.405, 9.405, 9.405 Å; angles 159.62, 161.31, 27.79 degrees
Fractional coordinates of all 4 atoms:
Tl 0.439 0.439 0.000
Ru 0.196 0.696 0.500
Se 0.098 0.098 0.000
Se 0.766 0.266 0.500

Space-group type: Imm2
V in A^3/atom: 23.20

***

(4)
The following is a DFT calculation (PBE) of a geometry-optimized TlRuSe2 structure.

Cell lengths 3.098, 3.960, 7.252 Å; angles 90.00, 90.00, 90.00 degrees
Fractional coordinates of all 4 atoms:
Se 0.500 0.500 0.204
Se 0.000 0.000 0.943
Tl 0.000 0.000 0.490
Ru 0.500 0.500 0.863

Space-group type: Pmm2
V in A^3/atom: 22.24

***

Most stable one: (2), least stable one: (1).

***

(1)
The following is a DFT calculation (PBE) of a geometry-optimized TlRuSe2 structure.

Cell lengths 4.885, 4.885, 3.542 Å; angles 90.00, 90.00, 107.76 degrees
Fractional coordinates of all 4 atoms:
Se 0.000 0.000 0.000
Tl 0.500 0.000 0.500
Se 0.500 0.500 0.000
Ru 0.000 0.500 0.500

Space-group type: Cmmm
V in A^3/atom: 20.13

***

(2)
The following is a DFT calculation (PBE) of a geometry-optimized TlRuSe2 structure.

Cell lengths 5.219, 5.219, 5.219 Å; angles 130.98, 130.98, 71.85 degrees
Fractional coordinates of all 4 atoms:
Se 0.250 0.750 0.500
Se 0.000 0.000 0.000
Tl 0.500 0.500 0.000
Ru 0.750 0.250 0.500

Space-group type: I-4m2
V in A^3/atom: 19.81

***

(3)
The following is a DFT calculation (PBE) of a geometry-optimized TlRuSe2 structure.

Cell lengths 6.162, 6.162, 5.904 Å; angles 65.78, 65.78, 29.34 degrees
Fractional coordinates of all 4 atoms:
Se 0.923 0.923 0.126
Ru 0.282 0.282 0.070
Tl 0.558 0.558 0.498
Se 0.737 0.737 0.805

Space-group type: Cm
V in A^3/atom: 24.87

***

(4)
The following is a DFT calculation (PBE) of a geometry-optimized TlRuSe2 structure.

Cell lengths 7.413, 7.413, 6.523 Å; angles 55.37, 55.37, 90.00 degrees
Fractional coordinates of all 8 atoms:
Se 0.225 0.625 0.250
Se 0.375 0.475 0.750
Ru 0.500 0.500 0.000
Se 0.875 0.775 0.750
Tl 0.000 0.000 0.000
Se 0.525 0.125 0.250
Ru 0.250 0.750 0.500
Tl 0.750 0.250 0.500

Space-group type: I-42d
V in A^3/atom: 26.67

***

Most stable one: (4), least stable one: (2).

***

(1)
The following is a DFT calculation (PBE) of a geometry-optimized TlRu3Se structure.

Cell lengths 5.027, 5.027, 5.027 Å; angles 90.00, 90.00, 90.00 degrees
Last column: magnetic moment on the atom in μB.
Fractional coordinates of all 5 atoms:
Tl 0.000 0.000 0.000  -0.05
Ru 0.000 0.500 0.000  2.20
Ru 0.500 0.000 0.000  1.84
Ru 0.000 0.000 0.500  2.21
Se 0.500 0.500 0.500  0.19

Space-group type: Pm-3m
V in A^3/atom: 25.40

***

(2)
The following is a DFT calculation (PBE) of a geometry-optimized TlRu3Se structure.

Cell lengths 4.561, 4.561, 4.561 Å; angles 90.00, 90.00, 90.00 degrees
Fractional coordinates of all 5 atoms:
Ru 0.500 0.000 0.000
Ru 0.000 0.000 0.500
Se 0.000 0.000 0.000
Ru 0.000 0.500 0.000
Tl 0.500 0.500 0.500

Space-group type: Pm-3m
V in A^3/atom: 18.98

***

Most stable one: (2), least stable one: (1).

***

(1)
The following is a DFT calculation (PBE) of a geometry-optimized Tm2RuSe structure.

Cell lengths 3.419, 3.419, 7.104 Å; angles 90.00, 90.00, 90.00 degrees
Fractional coordinates of all 4 atoms:
Ru 0.500 0.500 0.000
Se 0.500 0.500 0.500
Tm 0.000 0.000 0.232
Tm 0.000 0.000 0.768

Space-group type: P4/mmm
V in A^3/atom: 20.77

***

(2)
The following is a DFT calculation (PBE) of a geometry-optimized Tm2RuSe structure.

Cell lengths 3.687, 3.687, 7.851 Å; angles 76.42, 76.42, 60.00 degrees
Fractional coordinates of all 4 atoms:
Tm 0.747 0.747 0.758
Ru 0.000 0.000 0.000
Tm 0.253 0.253 0.242
Se 0.500 0.500 0.500

Space-group type: R-3m
V in A^3/atom: 22.24

***

Most stable one: (1), least stable one: (2).